Here is an optimized crystal structure of AlTc2Ir from Alexandria. Energies are from PBE.

Properties
VASP energy: -8.517 eV per atom
D(E_F): 12.81 states/eV/cell
theoretical density: 11.834 g cm⁻³
formation energy from the elements: -0.1828 eV/atom

```
data_AlTc2Ir
_chemical_formula_sum 'Al4 Tc8 Ir4'
_cell_length_a 6.154
_cell_length_b 6.154
_cell_length_c 6.154
_cell_angle_alpha 90.00
_cell_angle_beta 90.00
_cell_angle_gamma 90.00
_space_group_name_H-M_alt 'F -4 3 m'
_space_group_IT_number 216
_space_group_name_Hall 'F -4 2 3'
loop_
_atom_site_label
_atom_site_type_symbol
_atom_site_fract_x
_atom_site_fract_y
_atom_site_fract_z
Al1 Al 0.000 0.000 0.000
Tc1 Tc 0.000 0.000 0.500
Tc2 Tc 0.250 0.250 0.250
Ir1 Ir 0.250 0.250 0.750
```